Compound: CaAc3Pb2
Source: the Alexandria database
Functional: PBE-GGA
Structure: optimized geometry

VASP energy: -3.893 eV/atom
Density of states at the Fermi level: 24.84 states/eV/cell
Volume: 1043 Å³/cell

```
data_CaAc3Pb2
_cell_length_a 18.531
_cell_length_b 4.972
_cell_length_c 12.804
_cell_angle_alpha 90.00
_cell_angle_beta 117.89
_cell_angle_gamma 90.00
_symmetry_space_group_name_H-M 'C 1 2/m 1'
_symmetry_Int_Tables_number 12
_symmetry_space_group_name_Hall '-C 2y'
loop_
_atom_site_label
_atom_site_type_symbol
_atom_site_fract_x
_atom_site_fract_y
_atom_site_fract_z
Ca1 Ca 0.074 0.000 0.161
Ac1 Ac 0.051 0.500 0.724
Ac2 Ac 0.138 0.000 0.511
Ac3 Ac 0.228 0.500 0.128
Pb1 Pb 0.119 0.000 0.940
Pb2 Pb 0.152 0.500 0.337
```